[1]
VASP calculation (PBE-GGA) on Ca4RhN after structural relaxation.

Raw total energy: -53.1 eV for the cell shown
Space group: C2/c (15)
V: 24.7 Å³ per atom
Formation energy from raw total energies: -0.47 eV/atom
Magnetic moment: 0.00 μB per formula unit
Calculated density: 3.11 g/cm³

Cell: 6.8281 6.2966 8.1644 Å, 108.11 110.44 100.30°
Fractional positions:
Ca1 0.9461 0.2975 0.1050
Ca2 0.2765 0.5623 0.5709
Ca3 0.7235 0.4377 0.4291
Ca4 0.7944 0.0086 0.5709
Ca5 0.2056 0.9914 0.4291
Ca6 0.6589 0.8074 0.1050
Ca7 0.3411 0.1926 0.8950
Ca8 0.0539 0.7025 0.8950
Rh1 0.3651 0.6151 0.2303
Rh2 0.6349 0.3849 0.7697
N1 0.9260 0.1760 0.3519
N2 0.0740 0.8240 0.6481



[2]
VASP calculation (PBE-GGA) on Ca12Rh3N5 after structural relaxation.

Raw total energy: -391.1 eV for the cell shown
Space group: Ia-3d (230)
V: 22.6 Å³ per atom
Formation energy from raw total energies: -0.50 eV/atom
Magnetic moment: 0.00 μB per formula unit
Calculated density: 3.15 g/cm³

Cell: 13.3020 13.3020 13.3020 Å, 109.47 109.47 109.47°
Fractional positions:
Ca1 0.2965 0.8783 0.9767
Ca2 0.1802 0.0983 0.9767
Ca3 0.7965 0.4767 0.3783
Ca4 0.9017 0.8198 0.5233
Ca5 0.8198 0.9017 0.0233
Ca6 0.4017 0.3783 0.5819
Ca7 0.9017 0.0819 0.8783
Ca8 0.6217 0.5983 0.9181
Ca9 0.5983 0.9767 0.6802
Ca10 0.5233 0.3198 0.9017
Ca11 0.5983 0.6217 0.4181
Ca12 0.8783 0.2965 0.4767
Ca13 0.1802 0.0819 0.7035
Ca14 0.0233 0.4017 0.8198
Ca15 0.7965 0.3198 0.9181
Ca16 0.6802 0.4767 0.5983
Ca17 0.5233 0.2035 0.1217
Ca18 0.1217 0.7035 0.5233
Ca19 0.2035 0.6802 0.0819
Ca20 0.9767 0.5983 0.1802
Ca21 0.0819 0.9017 0.3783
Ca22 0.7035 0.1217 0.0233
Ca23 0.0983 0.9181 0.1217
Ca24 0.4181 0.2965 0.3198
Ca25 0.2965 0.4181 0.8198
Ca26 0.8198 0.9181 0.2965
Ca27 0.1217 0.4181 0.0983
Ca28 0.3783 0.4017 0.0819
Ca29 0.4017 0.0233 0.3198
Ca30 0.2035 0.5233 0.6217
Ca31 0.3198 0.7965 0.4181
Ca32 0.3198 0.5233 0.4017
Ca33 0.7035 0.5819 0.1802
Ca34 0.6802 0.2035 0.5819
Ca35 0.9181 0.8198 0.7965
Ca36 0.5819 0.7035 0.6802
Ca37 0.5819 0.8783 0.4017
Ca38 0.0983 0.1802 0.4767
Ca39 0.0819 0.1802 0.2035
Ca40 0.9767 0.3783 0.2965
Ca41 0.9181 0.0983 0.6217
Ca42 0.4767 0.7965 0.8783
Ca43 0.4767 0.6802 0.0983
Ca44 0.6217 0.0233 0.2035
Ca45 0.4181 0.1217 0.5983
Ca46 0.3783 0.9767 0.7965
Ca47 0.8783 0.5819 0.9017
Ca48 0.0233 0.6217 0.7035
Rh1 0.8750 0.1250 0.2500
Rh2 0.2500 0.6250 0.8750
Rh3 0.7500 0.3750 0.1250
Rh4 0.6250 0.3750 0.7500
Rh5 0.8750 0.7500 0.1250
Rh6 0.1250 0.8750 0.7500
Rh7 0.6250 0.2500 0.3750
Rh8 0.1250 0.2500 0.8750
Rh9 0.2500 0.1250 0.3750
Rh10 0.7500 0.8750 0.6250
Rh11 0.3750 0.6250 0.2500
Rh12 0.3750 0.7500 0.6250
N1 0.5000 0.0000 0.0000
N2 0.0000 0.0000 0.0000
N3 0.7500 0.6250 0.3750
N4 0.5000 0.0000 0.5000
N5 0.1250 0.7500 0.3750
N6 0.8750 0.2500 0.6250
N7 0.2500 0.8750 0.1250
N8 0.8750 0.6250 0.7500
N9 0.7500 0.1250 0.8750
N10 0.1250 0.3750 0.2500
N11 0.6250 0.7500 0.8750
N12 0.0000 0.5000 0.5000
N13 0.3750 0.1250 0.7500
N14 0.3750 0.2500 0.1250
N15 0.0000 0.5000 0.0000
N16 0.6250 0.8750 0.2500
N17 0.2500 0.3750 0.6250
N18 0.5000 0.5000 0.5000
N19 0.5000 0.5000 0.0000
N20 0.0000 0.0000 0.5000